Rb2UGaI6 | PBE | optimized geometry

```
Rb2UGaI6
1.0
8.8237 0.0000 0.0000
0.0000 12.7048 0.0000
0.0000 0.0000 9.1852
Rb U Ga I
4 2 2 12
direct
0.2500 0.0490 0.1930
0.2500 0.4510 0.1930
0.7500 0.5490 0.8070
0.7500 0.9510 0.8070
0.2500 0.7500 0.7744
0.7500 0.2500 0.2256
0.2500 0.2500 0.7213
0.7500 0.7500 0.2787
0.0058 0.7500 0.0229
0.0142 0.2500 0.4492
0.2500 0.5043 0.7797
0.2500 0.9957 0.7797
0.4858 0.2500 0.4492
0.4942 0.7500 0.0229
0.5058 0.2500 0.9771
0.5142 0.7500 0.5508
0.7500 0.0043 0.2203
0.7500 0.4957 0.2203
0.9858 0.7500 0.5508
0.9942 0.2500 0.9771
```

- ΔE_f (raw): -0.965 eV per atom
- Fermi-level density of states: 0.196 states/eV/atom
- Total magnetization: 6.000 Bohr magnetons per cell
- VASP energy: -70.4 eV per cell